(1)
Entry from OQMD: an optimized crystal structure of BaNbO3 (PBE).

Unit cell a=4.5710 b=4.5710 c=4.5710 alpha=90.00 beta=90.00 gamma=90.00
Last column: nearest neighbours and their distance in Å.
Space group Pm-3m (No. 221)
One atom of each set of equivalent atoms:
Ba (0.0000, 0.0000, 0.0000) x1  6 O 2.29
Nb (0.5000, 0.5000, 0.5000) x1  12 O 3.23
O (0.0000, 0.0000, 0.5000) x3  2 Ba 2.29

Summary:
mass density	4.8	g/cm³

(2)
Entry from OQMD: an optimized crystal structure of MgZrCuB (PBE).

Unit cell a=6.0946 b=6.0946 c=6.0946 alpha=90.00 beta=90.00 gamma=90.00
Last column: nearest neighbours and their distance in Å.
Space group F-43m (No. 216)
One atom of each set of equivalent atoms:
Mg (0.0000, 0.0000, 0.0000) x4  4 Cu 2.64, 4 Zr 2.64
Zr (0.2500, 0.2500, 0.2500) x4  4 Mg 2.64, 4 B 2.64
Cu (0.2500, 0.2500, 0.7500) x4  4 Mg 2.64, 4 B 2.64
B (0.0000, 0.0000, 0.5000) x4  4 Zr 2.64, 4 Cu 2.64

Summary:
mass density	5.6	g/cm³

(3)
Entry from OQMD: an optimized crystal structure of InCuMoSe2S (PBE).

Unit cell a=3.5787 b=14.1714 c=9.4230 alpha=90.00 beta=90.00 gamma=90.00
Last column: nearest neighbours and their distance in Å.
Space group Cmcm (No. 63)
One atom of each set of equivalent atoms:
In (0.0000, 0.2375, 0.2500) x4  2 S 3.01, 6 Se 3.15-3.21
Cu (0.0000, 0.0325, 0.7500) x4  2 S 2.27, 2 Se 2.40
Mo (0.0000, 0.5000, 0.0000) x4  2 S 2.54, 4 Se 2.64
Se (0.0000, 0.1335, 0.5449) x8  1 Cu 2.40, 2 Mo 2.64
S (0.0000, 0.4335, 0.7500) x4  2 Cu 2.27, 2 Mo 2.54

Summary:
mass density	6.5	g/cm³

(4)
Entry from OQMD: an optimized crystal structure of ScFeAgB (PBE).

Unit cell a=6.1086 b=6.1086 c=6.1086 alpha=90.00 beta=90.00 gamma=90.00
Last column: nearest neighbours and their distance in Å.
Space group F-43m (No. 216)
One atom of each set of equivalent atoms:
Sc (0.0000, 0.0000, 0.0000) x4  4 B 2.65, 4 Ag 2.65
Fe (0.0000, 0.0000, 0.5000) x4  4 B 2.65, 4 Ag 2.65
Ag (0.2500, 0.2500, 0.7500) x4  4 Fe 2.65, 4 Sc 2.65
B (0.2500, 0.2500, 0.2500) x4  4 Fe 2.65, 4 Sc 2.65

Summary:
mass density	6.4	g/cm³

Record-wise total DFT energy (no corrections) values, in eV/atom: -5.097; -4.682; -5.003; -5.648